[1]
Ge2AsCl2 | PBE | optimized geometry

a b c (Å): 8.7195 8.7195 3.0772
angles (deg): 90.00 90.00 90.00
With the nearest neighbours (Å) after each atom.
Positions (direct):
Cl (0.1186, 0.3814, 0.0000)  2 Ge 2.47
Cl (0.6186, 0.1186, 0.0000)  2 Ge 2.47
Cl (0.3814, 0.8814, 0.0000)  2 Ge 2.47
Cl (0.8814, 0.6186, 0.0000)  2 Ge 2.47
Ge (0.2758, 0.2242, 0.5000)  2 Cl 2.47
Ge (0.7758, 0.2758, 0.5000)  2 Cl 2.47
Ge (0.2242, 0.7242, 0.5000)  2 Cl 2.47
Ge (0.7242, 0.7758, 0.5000)  2 Cl 2.47
As (0.5000, 0.5000, 0.0000)  2 As 3.08
As (0.0000, 0.0000, 0.0000)  2 As 3.08

Properties
D(E_F)	0.39	states/eV per atom
spin magnetization	0.0	μB per formula unit
total DFT energy (no corrections)	-0.2473	Ry per atom
E_form (uncorrected)	151	meV/atom

***

[2]
KB3W | PBE | optimized geometry

a b c (Å): 4.3321 4.3321 4.3321
angles (deg): 90.00 90.00 90.00
With the nearest neighbours (Å) after each atom.
Positions (direct):
W (0.0000, 0.0000, 0.0000)  6 B 2.17
B (0.0000, 0.0000, 0.5000)  2 W 2.17
B (0.0000, 0.5000, 0.0000)  2 W 2.17
B (0.5000, 0.0000, 0.0000)  2 W 2.17
K (0.5000, 0.5000, 0.5000)  12 B 3.06

Properties
D(E_F)	0.36	states/eV per atom
E_form	0.955	eV per atom
spin magnetization	0.0	μB per formula unit
total DFT energy (no corrections)	-0.4308	Ry per atom

***

[3]
YPa2CrC4 | PBE | optimized geometry

a b c (Å): 3.5428 6.0160 12.1333
angles (deg): 90.00 90.00 107.12
With the nearest neighbours (Å) after each atom.
Positions (direct):
C (0.0000, 0.0000, 0.5000)  4 Pa 2.41
C (0.7354, 0.4709, 0.6299)  1 Cr 1.87
C (0.5850, 0.1700, 0.2500)  2 Cr 1.98
C (0.4150, 0.8300, 0.7500)  2 Cr 1.98
C (0.7354, 0.4709, 0.8701)  1 Cr 1.87
C (0.2646, 0.5291, 0.1299)  1 Cr 1.87
C (0.0000, 0.0000, 0.0000)  4 Pa 2.41
C (0.2646, 0.5291, 0.3701)  1 Cr 1.87
Y (0.8920, 0.7841, 0.2500)  6 C 2.72-2.84
Y (0.1080, 0.2159, 0.7500)  6 C 2.72-2.84
Cr (0.1626, 0.3252, 0.2500)  4 C 1.87-1.98
Cr (0.8374, 0.6748, 0.7500)  4 C 1.87-1.98
Pa (0.6332, 0.2663, 0.4523)  6 C 2.41-2.53
Pa (0.3668, 0.7337, 0.5477)  6 C 2.41-2.53
Pa (0.3668, 0.7337, 0.9523)  6 C 2.41-2.53
Pa (0.6332, 0.2663, 0.0477)  6 C 2.41-2.53

Properties
D(E_F)	0.72	states/eV per atom
E_form	-0.169	eV per atom
spin magnetization	1.5	μB per formula unit
total DFT energy (no corrections)	-0.6737	Ry per atom

***

[4]
Ba2CaDy | PBE | optimized geometry

a b c (Å): 4.4034 4.4034 9.8464
angles (deg): 90.00 90.00 90.00
With the nearest neighbours (Å) after each atom.
Positions (direct):
Ba (0.0000, 0.0000, 0.2297)  4 Dy 3.85, 4 Ca 4.10
Ba (0.0000, 0.0000, 0.7703)  4 Dy 3.85, 4 Ca 4.10
Dy (0.5000, 0.5000, 0.0000)  8 Ba 3.85
Ca (0.5000, 0.5000, 0.5000)  8 Ba 4.10, 4 Ca 4.40

Properties
D(E_F)	1.42	states/eV per atom
E_form	0.190	eV per atom
spin magnetization	0.0	μB per formula unit
total DFT energy (no corrections)	-0.1781	Ry per atom

***

[5]
Sc2WAu | PBE | optimized geometry

a b c (Å): 3.2851 3.2851 7.0308
angles (deg): 90.00 90.00 90.00
With the nearest neighbours (Å) after each atom.
Positions (direct):
Sc (0.0000, 0.0000, 0.4889)  4 W 2.87, 4 Au 2.96
Sc (0.0000, 0.0000, 0.0111)  4 W 2.87, 4 Au 2.96
Au (0.5000, 0.5000, 0.7500)  8 Sc 2.96, 4 Au 3.29
W (0.5000, 0.5000, 0.2500)  8 Sc 2.87

Properties
D(E_F)	0.92	states/eV per atom
E_form	-0.193	eV per atom
spin magnetization	0.0	μB per formula unit
total DFT energy (no corrections)	-0.5451	Ry per atom

***

[6]
TlAg2TeMo | PBE | optimized geometry

a b c (Å): 5.3541 5.1008 5.3541
angles (deg): 90.00 90.00 90.00
With the nearest neighbours (Å) after each atom.
Positions (direct):
Ag (0.5000, 0.0000, 0.0000)  2 Mo 2.68
Ag (0.0000, 0.0000, 0.5000)  2 Mo 2.68
Tl (0.5000, 0.5000, 0.5000)  8 Ag 3.70, 4 Te 3.79
Mo (0.0000, 0.0000, 0.0000)  2 Te 2.55, 4 Ag 2.68
Te (0.0000, 0.5000, 0.0000)  2 Mo 2.55

Properties
D(E_F)	0.60	states/eV per atom
spin magnetization	1.4	μB per formula unit
total DFT energy (no corrections)	-0.2749	Ry per atom
E_form (uncorrected)	668	meV/atom

***

[7]
Ac3La2Sm | PBE | optimized geometry

a b c (Å): 3.9359 9.0988 13.6852
angles (deg): 89.91 90.00 90.00
With the nearest neighbours (Å) after each atom.
Positions (direct):
Ac (0.2500, 0.3374, 0.0541)  2 Sm 3.63, 3 La 3.80-3.88, 4 Ac 3.85-3.94
Ac (0.2500, 0.3974, 0.7505)  1 Sm 3.75, 7 Ac 3.94-4.19, 4 La 3.97-4.03
Ac (0.7500, 0.6626, 0.9459)  2 Sm 3.63, 3 La 3.80-3.88, 4 Ac 3.85-3.94
Ac (0.7500, 0.0859, 0.6099)  2 Sm 3.69, 4 La 3.82-4.06, 6 Ac 3.92-3.95
Ac (0.7500, 0.6026, 0.2495)  1 Sm 3.75, 7 Ac 3.94-4.19, 4 La 3.97-4.03
Ac (0.2500, 0.9141, 0.3901)  2 Sm 3.69, 4 La 3.82-4.06, 6 Ac 3.92-3.95
Sm (0.2500, 0.8094, 0.7455)  4 La 3.59-3.72, 5 Ac 3.63-3.75, 2 Sm 3.94
Sm (0.7500, 0.1906, 0.2545)  4 La 3.59-3.72, 5 Ac 3.63-3.75, 2 Sm 3.94
La (0.2500, 0.3522, 0.4451)  2 Sm 3.59, 4 La 3.66-3.94, 2 Ac 3.85
La (0.2500, 0.9193, 0.1109)  2 Sm 3.72, 6 Ac 3.80-3.97, 4 La 3.90-3.94
La (0.7500, 0.0807, 0.8891)  2 Sm 3.72, 6 Ac 3.80-3.97, 4 La 3.90-3.94
La (0.7500, 0.6478, 0.5549)  2 Sm 3.59, 4 La 3.66-3.94, 2 Ac 3.85

Properties
D(E_F)	1.67	states/eV per atom
E_form	0.051	eV per atom
spin magnetization	0.0	μB per formula unit
total DFT energy (no corrections)	-0.3258	Ry per atom

***

[8]
La4Nd5Hg4 | PBE | optimized geometry

a b c (Å): 5.4080 9.1789 9.1789
angles (deg): 85.02 72.87 72.87
With the nearest neighbours (Å) after each atom.
Positions (direct):
Hg (0.2325, 0.6624, 0.8726)  3 La 3.16-3.42, 4 Nd 3.17-3.25
Hg (0.7675, 0.3376, 0.1274)  3 La 3.16-3.42, 4 Nd 3.17-3.25
Hg (0.1051, 0.1274, 0.6624)  3 La 3.16-3.42, 4 Nd 3.17-3.25
Hg (0.8949, 0.8726, 0.3376)  3 La 3.16-3.42, 4 Nd 3.17-3.25
La (0.6152, 0.2854, 0.4843)  3 Hg 3.16-3.42
La (0.0995, 0.5157, 0.2854)  3 Hg 3.16-3.42
La (0.9005, 0.4843, 0.7146)  3 Hg 3.16-3.42
La (0.3848, 0.7146, 0.5157)  3 Hg 3.16-3.42
Nd (0.3176, 0.0678, 0.2971)  3 Hg 3.22-3.25
Nd (0.6146, 0.7029, 0.0678)  3 Hg 3.22-3.25
Nd (0.0000, 0.0000, 0.0000)  4 Hg 3.17
Nd (0.3854, 0.2971, 0.9322)  3 Hg 3.22-3.25
Nd (0.6824, 0.9322, 0.7029)  3 Hg 3.22-3.25

Properties
D(E_F)	1.00	states/eV per atom
E_form	-0.307	eV per atom
spin magnetization	0.0	μB per formula unit
total DFT energy (no corrections)	-0.2756	Ry per atom

***

Among the records above, which one has the highest total DFT energy (no corrections)? Ba2CaDy

***

What is the formula in the seventh record? Ac3La2Sm

***

The lowest total DFT energy (no corrections) belongs to which entry? YPa2CrC4